Entry 1:
{
  "formula": "BiO4",
  "functional": "PBE",
  "state": "relaxed",
  "spacegroup": "Pm-3m",
  "dft_energy_ev_per_atom": -4.308,
  "raw_formation_energy_mev_per_atom": 435,
  "polymorph_energy_ev_per_fu": 4.46,
  "n_ef_per_ev_cell": 3.474,
  "cell": [[-0.953, 0.305, 4.107], [0.575, -4.165, 0.443], [4.078, 0.658, 0.897]],
  "species": ["O", "O", "O", "O", "Bi"],
  "frac_coords": [[0.500, 0.500, 0.000], [0.000, 0.000, 0.000], [0.500, 0.000, 0.500], [0.000, 0.500, 0.500], [0.500, 0.500, 0.500]]
}

=====

Entry 2:
{
  "formula": "Bi2O5",
  "functional": "PBE",
  "state": "relaxed",
  "spacegroup": "Cmmm",
  "dft_energy_ev_per_atom": -5.200,
  "raw_formation_energy_mev_per_atom": -549,
  "polymorph_energy_ev_per_fu": 0.41,
  "n_ef_per_ev_cell": 4.576,
  "cell": [[-1.353, -3.665, -1.217], [2.233, 0.373, -3.607], [13.521, -5.895, 2.719]],
  "species": ["O", "O", "O", "O", "O", "O", "O", "O", "O", "O", "Bi", "Bi", "Bi", "Bi"],
  "frac_coords": [[0.999, 0.195, 0.055], [0.500, 0.386, 0.865], [0.000, 0.500, 0.250], [0.000, 0.500, 0.750], [0.500, 0.614, 0.135], [0.500, 0.614, 0.635], [0.999, 0.805, 0.445], [0.001, 0.195, 0.555], [0.001, 0.805, 0.945], [0.500, 0.386, 0.365], [0.000, 0.350, 0.400], [0.000, 0.650, 0.100], [0.000, 0.350, 0.900], [0.000, 0.650, 0.600]]
}

=====

- Which formula does entry 2 have?
  Bi2O5